# 1
This record from the Alexandria database describes crystalline Ce2NdIn9 at its relaxed geometry. The functional is PBE-GGA.

a = 4.7097 Å, b = 4.7097 Å, c = 14.1349 Å
α = 90.00°, β = 90.00°, γ = 90.00°
Closest atoms and distances in Å follow each position.
Positions (direct):
Ce  0.0000  0.0000  0.1670  12 In 3.32-3.33
Ce  0.0000  0.0000  0.8330  12 In 3.32-3.33
Nd  0.0000  0.0000  0.5000  12 In 3.33-3.34
In  0.0000  0.5000  0.0000  8 In 3.32-3.33, 4 Ce 3.33
In  0.0000  0.5000  0.3323  2 Ce 3.32, 8 In 3.33-3.34, 2 Nd 3.34
In  0.0000  0.5000  0.6677  2 Ce 3.32, 8 In 3.33-3.34, 2 Nd 3.34
In  0.5000  0.0000  0.0000  8 In 3.32-3.33, 4 Ce 3.33
In  0.5000  0.0000  0.3323  2 Ce 3.32, 8 In 3.33-3.34, 2 Nd 3.34
In  0.5000  0.0000  0.6677  2 Ce 3.32, 8 In 3.33-3.34, 2 Nd 3.34
In  0.5000  0.5000  0.1659  8 In 3.32-3.33, 4 Ce 3.33
In  0.5000  0.5000  0.5000  4 Nd 3.33, 8 In 3.34
In  0.5000  0.5000  0.8341  8 In 3.32-3.33, 4 Ce 3.33

Calculated values
As for the space-group type: No. 123. The value obtained for the density of states at the Fermi level is 13.9 states/eV per cell.

***

# 2
This record from the Alexandria database describes crystalline CeNd2In9 at its relaxed geometry. The functional is PBE-GGA.

a = 4.7141 Å, b = 4.7141 Å, c = 14.1508 Å
α = 90.00°, β = 90.00°, γ = 90.00°
Closest atoms and distances in Å follow each position.
Positions (direct):
Ce  0.0000  0.0000  0.0000  12 In 3.32-3.33
Nd  0.0000  0.0000  0.3338  12 In 3.33-3.35
Nd  0.0000  0.0000  0.6662  12 In 3.33-3.35
In  0.0000  0.5000  0.1656  8 In 3.32-3.34, 2 Ce 3.32, 2 Nd 3.35
In  0.0000  0.5000  0.5000  4 Nd 3.33, 8 In 3.33-3.34
In  0.0000  0.5000  0.8344  8 In 3.32-3.34, 2 Ce 3.32, 2 Nd 3.35
In  0.5000  0.0000  0.1656  8 In 3.32-3.34, 2 Ce 3.32, 2 Nd 3.35
In  0.5000  0.0000  0.5000  4 Nd 3.33, 8 In 3.33-3.34
In  0.5000  0.0000  0.8344  8 In 3.32-3.34, 2 Ce 3.32, 2 Nd 3.35
In  0.5000  0.5000  0.0000  8 In 3.32, 4 Ce 3.33
In  0.5000  0.5000  0.3324  4 Nd 3.33, 8 In 3.34
In  0.5000  0.5000  0.6676  4 Nd 3.33, 8 In 3.34

Calculated values
As for the space-group type: No. 123. The value obtained for the density of states at the Fermi level is 8.3 states/eV per cell.

***

# 3
This record from the Alexandria database describes crystalline Ce4Nd2In3 at its relaxed geometry. The functional is PBE-GGA.

a = 6.3562 Å, b = 6.3562 Å, c = 9.5937 Å
α = 121.45°, β = 121.45°, γ = 49.83°
Closest atoms and distances in Å follow each position.
Positions (direct):
Ce  0.1406  0.1406  0.1079  2 Ce 2.66-2.97
Ce  0.1864  0.1864  0.4453  3 Ce 2.94-2.97, 1 Nd 3.26
Ce  0.8136  0.8136  0.5547  3 Ce 2.94-2.97, 1 Nd 3.26
Ce  0.8594  0.8594  0.8921  2 Ce 2.66-2.97
Nd  0.1587  0.1587  0.7709  5 Ce 3.26-3.36, 5 In 3.44-3.52
Nd  0.8413  0.8413  0.2291  5 Ce 3.26-3.36, 5 In 3.44-3.52
In  0.4924  0.4924  0.1650  2 In 3.16-3.27, 7 Ce 3.39-3.53, 3 Nd 3.44-3.52
In  0.5000  0.5000  0.5000  2 In 3.16, 2 Ce 3.34, 4 Nd 3.44
In  0.5076  0.5076  0.8350  2 In 3.16-3.27, 7 Ce 3.39-3.53, 3 Nd 3.44-3.52

Calculated values
As for the space-group type: No. 12. The value obtained for the density of states at the Fermi level is 20.1 states/eV per cell.

***

# 4
This record from the Alexandria database describes crystalline Ce2Nd5In5 at its relaxed geometry. The functional is PBE-GGA.

a = 6.4781 Å, b = 6.4781 Å, c = 12.3837 Å
α = 108.77°, β = 108.77°, γ = 47.64°
Closest atoms and distances in Å follow each position.
Positions (direct):
Ce  0.0709  0.0709  0.2578  4 In 3.23-3.39, 3 Nd 3.41-3.50
Ce  0.9291  0.9291  0.7422  4 In 3.23-3.39, 3 Nd 3.41-3.50
Nd  0.3423  0.3423  0.4925  3 In 3.20-3.35, 3 Nd 3.45-3.46, 1 Ce 3.50
Nd  0.3779  0.3779  0.2278  5 In 3.25-3.46, 2 Ce 3.41, 2 Nd 3.45-3.60
Nd  0.5000  0.5000  0.0000  8 In 3.43-3.76, 2 Nd 3.60
Nd  0.6221  0.6221  0.7722  5 In 3.25-3.46, 2 Ce 3.41, 2 Nd 3.45-3.60
Nd  0.6577  0.6577  0.5075  3 In 3.20-3.35, 3 Nd 3.45-3.46, 1 Ce 3.50
In  0.0000  0.0000  0.5000  4 Nd 3.20, 2 In 3.36, 2 Ce 3.39
In  0.1727  0.1727  0.9669  3 In 3.13-3.50, 1 Ce 3.23, 5 Nd 3.29-3.46
In  0.2609  0.2609  0.7256  4 Nd 3.25-3.58, 2 Ce 3.25, 2 In 3.36-3.50
In  0.7391  0.7391  0.2744  4 Nd 3.25-3.58, 2 Ce 3.25, 2 In 3.36-3.50
In  0.8273  0.8273  0.0331  3 In 3.13-3.50, 1 Ce 3.23, 5 Nd 3.29-3.46

Calculated values
As for the space-group type: No. 12. The value obtained for the density of states at the Fermi level is 21.7 states/eV per cell.

***

# 5
This record from the Alexandria database describes crystalline CeNdIn3 at its relaxed geometry. The functional is PBE-GGA.

a = 7.5706 Å, b = 7.5706 Å, c = 6.1763 Å
α = 90.00°, β = 90.00°, γ = 120.00°
Closest atoms and distances in Å follow each position.
Positions (direct):
Ce  0.0000  0.0000  0.0000  2 Ce 3.09, 6 In 3.10
Ce  0.0000  0.0000  0.5000  2 Ce 3.09, 6 In 3.10
Nd  0.3333  0.6667  0.2500  12 In 3.52-3.82
Nd  0.6667  0.3333  0.7500  12 In 3.52-3.82
In  0.2051  0.4103  0.7500  2 In 2.91, 2 Ce 3.10
In  0.2051  0.7949  0.7500  2 In 2.91, 2 Ce 3.10
In  0.4103  0.2051  0.2500  2 In 2.91, 2 Ce 3.10
In  0.5897  0.7949  0.7500  2 In 2.91, 2 Ce 3.10
In  0.7949  0.2051  0.2500  2 In 2.91, 2 Ce 3.10
In  0.7949  0.5897  0.2500  2 In 2.91, 2 Ce 3.10

Calculated values
As for the space-group type: No. 194. The value obtained for the density of states at the Fermi level is 15.3 states/eV per cell.

***

# 6
This record from the Alexandria database describes crystalline CeNdIn at its relaxed geometry. The functional is PBE-GGA.

a = 5.4003 Å, b = 5.4003 Å, c = 3.2593 Å
α = 90.00°, β = 90.00°, γ = 120.00°
Closest atoms and distances in Å follow each position.
Positions (direct):
Ce  0.0000  0.0000  0.0000  3 Nd 3.12, 2 Ce 3.26
Nd  0.3333  0.6667  0.0000  3 Ce 3.12, 2 Nd 3.26
In  0.6667  0.3333  0.5000  2 In 3.26, 6 Ce 3.52, 6 Nd 3.52

Calculated values
As for the space-group type: No. 187. The value obtained for the density of states at the Fermi level is 6.4 states/eV per cell.

***

# 7
This record from the Alexandria database describes crystalline Ce3NdIn3 at its relaxed geometry. The functional is PBE-GGA.

a = 9.5775 Å, b = 9.5775 Å, c = 5.0048 Å
α = 90.00°, β = 90.00°, γ = 120.00°
Closest atoms and distances in Å follow each position.
Positions (direct):
Ce  0.0010  0.2230  0.2500  4 In 3.22-3.42, 4 Ce 3.29
Ce  0.2220  0.9990  0.2500  4 In 3.22-3.42, 4 Ce 3.29
Ce  0.2230  0.2220  0.7500  4 In 3.22-3.42, 4 Ce 3.29
Ce  0.7770  0.7780  0.2500  4 In 3.22-3.42, 4 Ce 3.29
Ce  0.7780  0.0010  0.7500  4 In 3.22-3.42, 4 Ce 3.29
Ce  0.9990  0.7770  0.7500  4 In 3.22-3.42, 4 Ce 3.29
Nd  0.3333  0.6667  0.2500  9 In 3.41
Nd  0.6667  0.3333  0.7500  9 In 3.41
In  0.0680  0.4592  0.7500  2 In 3.10, 4 Ce 3.22-3.42, 3 Nd 3.41
In  0.3911  0.9320  0.7500  2 In 3.10, 4 Ce 3.22-3.42, 3 Nd 3.41
In  0.4592  0.3911  0.2500  2 In 3.10, 4 Ce 3.22-3.42, 3 Nd 3.41
In  0.5408  0.6089  0.7500  2 In 3.10, 4 Ce 3.22-3.42, 3 Nd 3.41
In  0.6089  0.0680  0.2500  2 In 3.10, 4 Ce 3.22-3.42, 3 Nd 3.41
In  0.9320  0.5408  0.2500  2 In 3.10, 4 Ce 3.22-3.42, 3 Nd 3.41

Calculated values
As for the space-group type: No. 176. The value obtained for the density of states at the Fermi level is 34.9 states/eV per cell.

***

# 8
This record from the Alexandria database describes crystalline CeNd6In5 at its relaxed geometry. The functional is PBE-GGA.

a = 9.3189 Å, b = 9.3189 Å, c = 9.3189 Å
α = 148.03°, β = 122.74°, γ = 67.10°
Closest atoms and distances in Å follow each position.
Positions (direct):
Ce  0.0000  0.0000  0.0000  8 Nd 3.49-3.51, 4 In 3.51
Nd  0.0872  0.8295  0.2577  7 In 3.36-3.48, 1 Ce 3.51, 4 Nd 3.56-3.69
Nd  0.2647  0.5000  0.7647  6 In 3.32-3.38, 2 Ce 3.49, 4 Nd 3.69
Nd  0.4283  0.1705  0.2577  7 In 3.36-3.48, 1 Ce 3.51, 4 Nd 3.56-3.69
Nd  0.5717  0.8295  0.7423  7 In 3.36-3.48, 1 Ce 3.51, 4 Nd 3.56-3.69
Nd  0.7353  0.5000  0.2353  6 In 3.32-3.38, 2 Ce 3.49, 4 Nd 3.69
Nd  0.9128  0.1705  0.7423  7 In 3.36-3.48, 1 Ce 3.51, 4 Nd 3.56-3.69
In  0.1543  0.6543  0.5000  8 Nd 3.37-3.48, 2 Ce 3.51, 2 In 3.74
In  0.3293  0.3293  0.0000  8 Nd 3.36-3.38, 4 In 3.69-3.74
In  0.5000  0.0000  0.5000  8 Nd 3.32-3.42, 4 In 3.69
In  0.6707  0.6707  0.0000  8 Nd 3.36-3.38, 4 In 3.69-3.74
In  0.8457  0.3457  0.5000  8 Nd 3.37-3.48, 2 Ce 3.51, 2 In 3.74

Calculated values
As for the space-group type: No. 71. The value obtained for the density of states at the Fermi level is 15.0 states/eV per cell.

***

# 9
This record from the Alexandria database describes crystalline CeNd4In2 at its relaxed geometry. The functional is PBE-GGA.

a = 5.9204 Å, b = 5.9204 Å, c = 12.9273 Å
α = 90.00°, β = 90.00°, γ = 90.00°
Closest atoms and distances in Å follow each position.
Positions (direct):
Ce  0.0000  0.0000  0.0000  4 Nd 2.96
Ce  0.5000  0.5000  0.5000  4 Nd 2.96
Nd  0.0000  0.5000  0.0000  2 Ce 2.96, 2 Nd 3.23
Nd  0.0000  0.5000  0.2500  2 Nd 3.23, 4 In 3.38
Nd  0.0000  0.5000  0.5000  2 Ce 2.96, 2 Nd 3.23
Nd  0.0000  0.5000  0.7500  2 Nd 3.23, 4 In 3.38
Nd  0.5000  0.0000  0.0000  2 Ce 2.96, 2 Nd 3.23
Nd  0.5000  0.0000  0.2500  2 Nd 3.23, 4 In 3.38
Nd  0.5000  0.0000  0.5000  2 Ce 2.96, 2 Nd 3.23
Nd  0.5000  0.0000  0.7500  2 Nd 3.23, 4 In 3.38
In  0.0000  0.0000  0.3762  1 In 3.20, 8 Nd 3.37-3.38
In  0.0000  0.0000  0.6238  1 In 3.20, 8 Nd 3.37-3.38
In  0.5000  0.5000  0.1238  1 In 3.20, 8 Nd 3.37-3.38
In  0.5000  0.5000  0.8762  1 In 3.20, 8 Nd 3.37-3.38

Calculated values
As for the space-group type: No. 139. The value obtained for the density of states at the Fermi level is 22.5 states/eV per cell.

***

# 10
This record from the Alexandria database describes crystalline Ce3Nd2In2 at its relaxed geometry. The functional is PBE-GGA.

a = 10.9752 Å, b = 5.3417 Å, c = 6.6938 Å
α = 90.00°, β = 90.88°, γ = 90.00°
Closest atoms and distances in Å follow each position.
Positions (direct):
Ce  0.0000  0.0000  0.0000  2 Ce 2.81
Ce  0.1025  0.0000  0.3867  2 Ce 2.73-2.81
Ce  0.3975  0.5000  0.6133  2 Ce 2.73-2.81
Ce  0.5000  0.5000  0.0000  2 Ce 2.81
Ce  0.6025  0.5000  0.3867  2 Ce 2.73-2.81
Ce  0.8975  0.0000  0.6133  2 Ce 2.73-2.81
Nd  0.2149  0.5000  0.1643  4 Ce 3.31-3.59, 4 In 3.40-3.54, 2 Nd 3.55
Nd  0.2851  0.0000  0.8357  4 Ce 3.31-3.59, 4 In 3.40-3.54, 2 Nd 3.55
Nd  0.7149  0.0000  0.1643  4 Ce 3.31-3.59, 4 In 3.40-3.54, 2 Nd 3.55
Nd  0.7851  0.5000  0.8357  4 Ce 3.31-3.59, 4 In 3.40-3.54, 2 Nd 3.55
In  0.0905  0.5000  0.6960  1 In 3.27, 7 Ce 3.38-3.51, 4 Nd 3.40-3.54
In  0.4095  0.0000  0.3040  1 In 3.27, 7 Ce 3.38-3.51, 4 Nd 3.40-3.54
In  0.5905  0.0000  0.6960  1 In 3.27, 7 Ce 3.38-3.51, 4 Nd 3.40-3.54
In  0.9095  0.5000  0.3040  1 In 3.27, 7 Ce 3.38-3.51, 4 Nd 3.40-3.54

Calculated values
As for the space-group type: No. 12. The value obtained for the density of states at the Fermi level is 29.3 states/eV per cell.

***

# 11
This record from the Alexandria database describes crystalline Ce4Nd9In11 at its relaxed geometry. The functional is PBE-GGA.

a = 14.0208 Å, b = 14.0208 Å, c = 3.5400 Å
α = 90.00°, β = 90.00°, γ = 96.95°
Closest atoms and distances in Å follow each position.
Positions (direct):
Ce  0.0675  0.2280  0.0000  2 Nd 3.22-3.35, 6 In 3.30-3.51, 3 Ce 3.37-3.54
Ce  0.2280  0.0675  0.0000  2 Nd 3.22-3.35, 6 In 3.30-3.51, 3 Ce 3.37-3.54
Ce  0.7720  0.9325  0.0000  2 Nd 3.22-3.35, 6 In 3.30-3.51, 3 Ce 3.37-3.54
Ce  0.9325  0.7720  0.0000  2 Nd 3.22-3.35, 6 In 3.30-3.51, 3 Ce 3.37-3.54
Nd  0.0000  0.0000  0.0000  4 Ce 3.22, 4 In 3.47, 2 Nd 3.54
Nd  0.1183  0.6428  0.0000  1 Ce 3.35, 8 In 3.38-3.48, 3 Nd 3.54-3.64
Nd  0.2935  0.4711  0.0000  8 In 3.34-3.41, 4 Nd 3.54-3.73
Nd  0.3572  0.8817  0.0000  1 Ce 3.35, 8 In 3.38-3.48, 3 Nd 3.54-3.64
Nd  0.4711  0.2935  0.0000  8 In 3.34-3.41, 4 Nd 3.54-3.73
Nd  0.5289  0.7065  0.0000  8 In 3.34-3.41, 4 Nd 3.54-3.73
Nd  0.6428  0.1183  0.0000  1 Ce 3.35, 8 In 3.38-3.48, 3 Nd 3.54-3.64
Nd  0.7065  0.5289  0.0000  8 In 3.34-3.41, 4 Nd 3.54-3.73
Nd  0.8817  0.3572  0.0000  1 Ce 3.35, 8 In 3.38-3.48, 3 Nd 3.54-3.64
In  0.0843  0.4308  0.5000  3 In 3.23-3.54, 2 Ce 3.33, 6 Nd 3.40-3.44
In  0.1419  0.8581  0.5000  6 Nd 3.47-3.48, 4 Ce 3.51, 3 In 3.54-3.84
In  0.2668  0.2668  0.5000  4 Ce 3.30, 4 Nd 3.35, 4 In 3.54-3.64
In  0.3251  0.6749  0.5000  8 Nd 3.34-3.38, 3 In 3.54-3.67
In  0.4308  0.0843  0.5000  3 In 3.23-3.54, 2 Ce 3.33, 6 Nd 3.40-3.44
In  0.5000  0.5000  0.5000  8 Nd 3.38, 4 In 3.54-3.67
In  0.5692  0.9157  0.5000  3 In 3.23-3.54, 2 Ce 3.33, 6 Nd 3.40-3.44
In  0.6749  0.3251  0.5000  8 Nd 3.34-3.38, 3 In 3.54-3.67
In  0.7332  0.7332  0.5000  4 Ce 3.30, 4 Nd 3.35, 4 In 3.54-3.64
In  0.8581  0.1419  0.5000  6 Nd 3.47-3.48, 4 Ce 3.51, 3 In 3.54-3.84
In  0.9157  0.5692  0.5000  3 In 3.23-3.54, 2 Ce 3.33, 6 Nd 3.40-3.44

Calculated values
As for the space-group type: No. 65. The value obtained for the density of states at the Fermi level is 35.0 states/eV per cell.

***

# 12
This record from the Alexandria database describes crystalline CeNd3In at its relaxed geometry. The functional is PBE-GGA.

a = 7.7004 Å, b = 7.7004 Å, c = 6.0245 Å
α = 107.08°, β = 107.08°, γ = 78.27°
Closest atoms and distances in Å follow each position.
Positions (direct):
Ce  0.0426  0.0426  0.3136  1 Ce 2.80
Ce  0.9574  0.9574  0.6864  1 Ce 2.80
Nd  0.1529  0.5144  0.3511  2 In 3.32-3.39, 5 Nd 3.41-3.69, 1 Ce 3.69
Nd  0.3133  0.6867  0.0000  2 In 3.29, 5 Nd 3.41-3.65, 2 Ce 3.52
Nd  0.4856  0.8471  0.6489  2 In 3.32-3.39, 5 Nd 3.41-3.69, 1 Ce 3.69
Nd  0.5144  0.1529  0.3511  2 In 3.32-3.39, 5 Nd 3.41-3.69, 1 Ce 3.69
Nd  0.6867  0.3133  0.0000  2 In 3.29, 5 Nd 3.41-3.65, 2 Ce 3.52
Nd  0.8471  0.4856  0.6489  2 In 3.32-3.39, 5 Nd 3.41-3.69, 1 Ce 3.69
In  0.2523  0.2523  0.8329  2 Ce 3.18-3.29, 6 Nd 3.29-3.39
In  0.7477  0.7477  0.1671  2 Ce 3.18-3.29, 6 Nd 3.29-3.39

Calculated values
As for the space-group type: No. 12. The value obtained for the density of states at the Fermi level is 20.1 states/eV per cell.

***

How do the records compare in VASP energy? In the order shown, they have -46.5, -45.6, -43.2, -52.5, -19.7, -13.8, -32.5, -52.7, -30.0, -34.2, -105.7, -23.2 eV per formula unit.